(1)
A plane-wave DFT calculation with PBE-GGA was carried out for a relaxed BePtAu crystal.

Cell lengths 2.8459, 2.8459, 10.2388 Å; angles 90.00, 90.00, 90.00 degrees
Closest atoms and distances in Å follow each position.
Fractional coordinates of all 6 atoms:
Au1 0.0000 0.5000 0.3891  4 Be 2.60, 4 Au 2.85, 1 Pt 2.89
Au2 0.5000 0.0000 0.6109  4 Be 2.60, 4 Au 2.85, 1 Pt 2.89
Be1 0.5000 0.0000 0.2284  4 Pt 2.37, 4 Au 2.60
Be2 0.0000 0.5000 0.7716  4 Pt 2.37, 4 Au 2.60
Pt1 0.0000 0.5000 0.1064  4 Be 2.37
Pt2 0.5000 0.0000 0.8936  4 Be 2.37

- Polymorph energy (0 for the lowest one): 1 kJ/mol of formula units
- Total magnetic moment: 0.00 μB/cell
- Volume: 13.8 Å³/atom



(2)
A plane-wave DFT calculation with PBE-GGA was carried out for a relaxed BePtAu crystal.

Cell lengths 3.9666, 3.9666, 3.9666 Å; angles 60.00, 60.00, 60.00 degrees
Closest atoms and distances in Å follow each position.
Fractional coordinates of all 3 atoms:
Au1 0.2500 0.2500 0.2500  4 Be 2.43
Be1 0.0000 0.0000 0.0000  4 Au 2.43, 4 Pt 2.43
Pt1 0.7500 0.7500 0.7500  4 Be 2.43

- Polymorph energy (0 for the lowest one): 13 kJ/mol of formula units
- Total magnetic moment: 0.00 μB/cell
- Volume: 14.7 Å³/atom